1.
# V2CuSn2, optimized geometry, DFT PBE
data_V2CuSn2
_cell_length_a 7.649
_cell_length_b 7.649
_cell_length_c 3.121
_cell_angle_alpha 90.00
_cell_angle_beta 90.00
_cell_angle_gamma 90.00
_space_group_name_H-M_alt 'P 4/m b m'
_space_group_IT_number 127
_space_group_name_Hall '-P 4 2ab'
loop_
_atom_site_label
_atom_site_type_symbol
_atom_site_fract_x
_atom_site_fract_y
_atom_site_fract_z
V1 V 0.108 0.392 0.000
Cu1 Cu 0.000 0.000 0.500
Sn1 Sn 0.184 0.684 0.500
# electronic total energy	-5.76	eV/atom
# ΔH_f (0 K)	1.6	eV/f.u.
# density of states at the Fermi level	0.98	states/eV/atom



2.
# Mg3MnNb3N8, optimized geometry, DFT PBE
data_Mg3MnNb3N8
_cell_length_a 6.0976
_cell_length_b 6.0976
_cell_length_c 15.3945
_cell_angle_alpha 90.00
_cell_angle_beta 90.00
_cell_angle_gamma 120.00
_space_group_name_H-M_alt 'R -3 m'
_space_group_IT_number 166
_space_group_name_Hall '-R 3 2"'
loop_
_atom_site_label
_atom_site_type_symbol
_atom_site_fract_x
_atom_site_fract_y
_atom_site_fract_z
Mg1 Mg 0.0000 0.5000 0.0000
Mn1 Mn 0.0000 0.0000 0.5000
Nb1 Nb 0.0000 0.5000 0.5000
N1 N 0.0000 0.0000 0.2482
N2 N 0.0127 0.5064 0.2414
# electronic total energy	-8.17	eV/atom
# density of states at the Fermi level	0.18	states/eV/atom



3.
# CaMnZnSi2, optimized geometry, DFT PBE
data_CaMnZnSi2
_cell_length_a 5.141
_cell_length_b 5.141
_cell_length_c 5.093
_cell_angle_alpha 90.00
_cell_angle_beta 90.00
_cell_angle_gamma 90.00
_space_group_name_H-M_alt 'P 4/m m m'
_space_group_IT_number 123
_space_group_name_Hall '-P 4 2'
loop_
_atom_site_label
_atom_site_type_symbol
_atom_site_fract_x
_atom_site_fract_y
_atom_site_fract_z
Ca1 Ca 0.000 0.000 0.000
Mn1 Mn 0.500 0.500 0.500
Zn1 Zn 0.000 0.000 0.500
Si1 Si 0.000 0.500 0.000
# electronic total energy	-2.67	eV/atom
# density of states at the Fermi level	1.26	states/eV/atom



4.
# AcThCu3, optimized geometry, DFT PBE
data_AcThCu3
_cell_length_a 3.918
_cell_length_b 26.892
_cell_length_c 4.327
_cell_angle_alpha 90.00
_cell_angle_beta 90.00
_cell_angle_gamma 90.00
_space_group_name_H-M_alt 'C m c m'
_space_group_IT_number 63
_space_group_name_Hall '-C 2c 2'
loop_
_atom_site_label
_atom_site_type_symbol
_atom_site_fract_x
_atom_site_fract_y
_atom_site_fract_z
Ac1 Ac 0.000 0.073 0.250
Th1 Th 0.000 0.207 0.750
Cu1 Cu 0.000 0.326 0.750
Cu2 Cu 0.000 0.379 0.250
Cu3 Cu 0.000 0.475 0.250
# electronic total energy	-4.92	eV/atom
# ΔH_f (0 K)	-0.8	eV/f.u.
# density of states at the Fermi level	0.79	states/eV/atom



5.
# CdSi2Os, optimized geometry, DFT PBE
data_CdSi2Os
_cell_length_a 8.577
_cell_length_b 3.073
_cell_length_c 6.147
_cell_angle_alpha 90.00
_cell_angle_beta 120.54
_cell_angle_gamma 90.00
_space_group_name_H-M_alt 'C 1 m 1'
_space_group_IT_number 8
loop_
_space_group_symop_operation_xyz
'x,y,z'
'x,-y,z'
'x+1/2,y+1/2,z'
'x+1/2,-y+1/2,z'
loop_
_atom_site_label
_atom_site_type_symbol
_atom_site_fract_x
_atom_site_fract_y
_atom_site_fract_z
Cd1 Cd 0.000 0.000 0.000
Si1 Si 0.179 0.000 0.763
Si2 Si 0.382 0.000 0.407
Os1 Os 0.183 0.500 0.464
# electronic total energy	-5.67	eV/atom
# density of states at the Fermi level	0.11	states/eV/atom



6.
# PrBePt6, optimized geometry, DFT PBE
data_PrBePt6
_cell_length_a 3.965
_cell_length_b 3.965
_cell_length_c 9.017
_cell_angle_alpha 90.00
_cell_angle_beta 90.00
_cell_angle_gamma 90.00
_space_group_name_H-M_alt 'P 4/m m m'
_space_group_IT_number 123
_space_group_name_Hall '-P 4 2'
loop_
_atom_site_label
_atom_site_type_symbol
_atom_site_fract_x
_atom_site_fract_y
_atom_site_fract_z
Pr1 Pr 0.000 0.000 0.000
Be1 Be 0.000 0.000 0.500
Pt1 Pt 0.000 0.500 0.350
Pt2 Pt 0.500 0.500 0.143
# electronic total energy	-6.11	eV/atom
# ΔH_f (0 K)	-4.1	eV/f.u.
# density of states at the Fermi level	1.43	states/eV/atom